(1)
# Sc2TaCr2

Sc2TaCr2 after structural relaxation (PBE, Alexandria via LeMat-Bulk).

```
data_Sc2TaCr2
_cell_length_a 6.259
_cell_length_b 6.259
_cell_length_c 4.590
_cell_angle_alpha 90.00
_cell_angle_beta 90.00
_cell_angle_gamma 90.00
_space_group_name_H-M_alt 'P 1'
_space_group_IT_number 1
loop_
_space_group_symop_operation_xyz
'x,y,z'
loop_
_atom_site_label
_atom_site_fract_x
_atom_site_fract_y
_atom_site_fract_z
Sc1 0.174 0.326 0.000
Sc2 0.326 0.826 0.000
Sc3 0.674 0.174 0.000
Sc4 0.826 0.674 0.000
Ta1 0.000 0.000 0.500
Ta2 0.500 0.500 0.500
Cr1 0.124 0.624 0.500
Cr2 0.376 0.124 0.500
Cr3 0.624 0.876 0.500
Cr4 0.876 0.376 0.500
```

ΔH_f (0 K)	0.308	eV per atom
space group	P4/mbm (127)

(2)
# ZrIr2Rh

ZrIr2Rh after structural relaxation (PBE, Alexandria via LeMat-Bulk).

```
data_ZrIr2Rh
_cell_length_a 2.828
_cell_length_b 2.828
_cell_length_c 27.716
_cell_angle_alpha 90.00
_cell_angle_beta 90.00
_cell_angle_gamma 120.00
_space_group_name_H-M_alt 'P 1'
_space_group_IT_number 1
loop_
_space_group_symop_operation_xyz
'x,y,z'
loop_
_atom_site_label
_atom_site_fract_x
_atom_site_fract_y
_atom_site_fract_z
Zr1 0.000 0.000 0.000
Zr2 0.333 0.667 0.667
Zr3 0.667 0.333 0.333
Ir1 0.000 0.000 0.501
Ir2 0.000 0.000 0.755
Ir3 0.333 0.667 0.167
Ir4 0.333 0.667 0.422
Ir5 0.667 0.333 0.089
Ir6 0.667 0.333 0.834
Rh1 0.000 0.000 0.246
Rh2 0.333 0.667 0.913
Rh3 0.667 0.333 0.579
```

ΔH_f (0 K)	-0.044	eV per atom
space group	R3m (160)

(3)
# LiZnRu2

LiZnRu2 after structural relaxation (PBE, Alexandria via LeMat-Bulk).

```
data_LiZnRu2
_cell_length_a 2.633
_cell_length_b 4.407
_cell_length_c 4.744
_cell_angle_alpha 90.00
_cell_angle_beta 93.79
_cell_angle_gamma 90.00
_space_group_name_H-M_alt 'P 1'
_space_group_IT_number 1
loop_
_space_group_symop_operation_xyz
'x,y,z'
loop_
_atom_site_label
_atom_site_fract_x
_atom_site_fract_y
_atom_site_fract_z
Li1 0.000 0.000 0.000
Zn1 0.500 0.000 0.500
Ru1 0.244 0.500 0.757
Ru2 0.756 0.500 0.243
```

ΔH_f (0 K)	0.139	eV per atom
space group	P2/m (10)

(4)
# TeBrNF2

TeBrNF2 after structural relaxation (PBE, Alexandria via LeMat-Bulk).

```
data_TeBrNF2
_cell_length_a 4.340
_cell_length_b 4.340
_cell_length_c 4.346
_cell_angle_alpha 90.00
_cell_angle_beta 90.00
_cell_angle_gamma 90.00
_space_group_name_H-M_alt 'P 1'
_space_group_IT_number 1
loop_
_space_group_symop_operation_xyz
'x,y,z'
loop_
_atom_site_label
_atom_site_fract_x
_atom_site_fract_y
_atom_site_fract_z
Te1 0.000 0.000 0.000
Br1 0.500 0.500 0.500
N1 0.000 0.000 0.500
F1 0.000 0.500 0.000
F2 0.500 0.000 0.000
```

energy above the lowest structure with this stoichiometry	0.000	eV/atom
space group	P4/mmm (123)
energy relative to the elements, uncorrected	-91	meV/atom

DOS at the Fermi energy: 7.34 3.99 3.38 2.55 (states/eV/f.u.)
VASP energy: -8.44 -8.45 -5.30 -3.47 (eV/atom)